TaIn2Fe, optimized geometry, DFT PBE-GGA; D(E_F) = 5.1 states/eV/cell; energy = -5.898 eV per atom
1.0
0.000 3.325 3.325
3.325 0.000 3.325
3.325 3.325 0.000
Ta In Fe
1 2 1
direct
0.000 0.000 0.000
0.250 0.250 0.250
0.750 0.750 0.750
0.500 0.500 0.500

---

Co5Ni12Rh2, optimized geometry, DFT PBE-GGA; D(E_F) = 22.4 states/eV/cell; energy = -6.129 eV per atom
1.0
5.632 -3.355 0.000
5.632 3.355 0.000
-0.020 0.000 5.961
Co Ni Rh
5 12 2
direct
0.000 0.000 0.000
0.232 0.232 0.081
0.303 0.303 0.496
0.697 0.697 0.504
0.768 0.768 0.919
0.019 0.654 0.248
0.100 0.100 0.391
0.178 0.572 0.850
0.346 0.981 0.752
0.428 0.822 0.150
0.439 0.439 0.166
0.561 0.561 0.834
0.572 0.178 0.850
0.654 0.019 0.248
0.822 0.428 0.150
0.900 0.900 0.609
0.981 0.346 0.752
0.307 0.693 0.500
0.693 0.307 0.500